Here is a relaxed structure of SrSmMn2O5 from Alexandria via LeMat-Bulk. Energies are from PBE with a Hubbard U.

Summary:
**SG**: P4/mmm, No. 123

```
9
Lattice="3.9613 0.0000 0.0000 0.0000 3.9613 0.0000 0.0000 0.0000 7.8230" Properties=species:S:1:pos:R:3 pbc="T T T"
Sr 0.0000 0.0000 0.0000
Sm 0.0000 0.0000 3.9115
Mn 1.9806 1.9806 2.0470
Mn 1.9806 1.9806 5.7760
O 0.0000 1.9806 2.4402
O 0.0000 1.9806 5.3828
O 1.9806 0.0000 2.4402
O 1.9806 0.0000 5.3828
O 1.9806 1.9806 0.0000
```

=====

Here is a relaxed structure of SrSmMn2O6 from Alexandria via LeMat-Bulk. Energies are from PBE with a Hubbard U.

Summary:
**SG**: Pmn2_1, No. 31

```
20
Lattice="7.7288 0.0000 0.0000 0.0000 5.5624 0.0000 0.0000 0.0000 5.5027" Properties=species:S:1:pos:R:3 pbc="T T T"
Sr 0.0000 1.2515 0.0000
Sr 3.8644 4.3109 2.7513
Sm 0.0000 3.9042 2.6605
Sm 3.8644 1.6582 5.4118
Mn 1.9360 1.3658 2.7309
Mn 1.9285 4.1966 5.4822
Mn 5.7929 1.3658 2.7309
Mn 5.8004 4.1966 5.4822
O 0.0000 1.5206 3.0385
O 0.0000 4.2224 5.0115
O 1.6065 5.3346 1.5861
O 1.6684 2.6645 1.2405
O 2.1960 2.8979 3.9919
O 2.2580 0.2278 4.3375
O 3.8644 1.3400 2.2602
O 3.8644 4.0418 0.2872
O 5.4709 0.2278 4.3375
O 5.5328 2.8979 3.9919
O 6.0604 2.6645 1.2405
O 6.1224 5.3346 1.5861
```

=====

Here is a relaxed structure of Sr2SmMnO6 from Alexandria via LeMat-Bulk. Energies are from PBE with a Hubbard U.

Summary:
**SG**: Fm-3m, No. 225

```
10
Lattice="0.0000 4.1590 4.1590 4.1590 0.0000 4.1590 4.1590 4.1590 0.0000" Properties=species:S:1:pos:R:3 pbc="T T T"
Sr 2.0795 2.0795 2.0795
Sr 6.2386 6.2386 6.2386
Sm 0.0000 0.0000 0.0000
Mn 4.1590 4.1590 4.1590
O 4.1590 4.1590 2.2521
O 4.1590 2.2521 4.1590
O 6.0660 4.1590 4.1590
O 2.2521 4.1590 4.1590
O 4.1590 6.0660 4.1590
O 4.1590 4.1590 6.0660
```

=====

Here is a relaxed structure of SmMnTeO6 from Alexandria via LeMat-Bulk. Energies are from PBE with a Hubbard U.

Summary:
**SG**: P-31c, No. 163

```
18
Lattice="5.6553 0.0000 0.0000 -2.8276 4.8976 0.0000 0.0000 0.0000 8.5746" Properties=species:S:1:pos:R:3 pbc="T T T"
Sm 0.0000 3.2651 2.1436
Sm 2.8276 1.6325 6.4309
Mn 0.0000 0.0000 0.0000
Mn 0.0000 0.0000 4.2873
Te 0.0000 3.2651 6.4309
Te 2.8276 1.6325 2.1436
O -0.7429 1.8037 5.3559
O -1.6371 3.3524 7.5060
O 0.7429 1.8037 7.5060
O -0.8941 4.6392 5.3559
O 1.9335 0.2584 1.0686
O 1.1906 1.5452 3.2187
O 1.6371 3.3524 5.3559
O 0.8941 4.6392 7.5060
O 3.7218 0.2584 3.2187
O 2.0847 3.0939 1.0686
O 4.4647 1.5452 1.0686
O 3.5706 3.0939 3.2187
```

=====

Here is a relaxed structure of SmMnTeO2 from Alexandria via LeMat-Bulk. Energies are from PBE with a Hubbard U.

Summary:
**SG**: Cmcm, No. 63

```
10
Lattice="2.7560 -6.7065 0.0000 2.7560 6.7065 0.0000 0.0000 0.0000 5.5070" Properties=species:S:1:pos:R:3 pbc="T T T"
Sm 2.7560 5.5103 4.1303
Sm 2.7560 -5.5103 1.3768
Mn 2.7560 0.7030 4.1303
Mn 2.7560 -0.7030 1.3768
Te 2.7560 3.3629 1.3768
Te 2.7560 -3.3629 4.1303
O 1.3959 0.0000 0.0000
O 1.3959 0.0000 2.7535
O 4.1160 0.0000 0.0000
O 4.1160 0.0000 2.7535
```

=====

Here is a relaxed structure of Sm2TiMnO6 from Alexandria via LeMat-Bulk. Energies are from PBE with a Hubbard U.

Summary:
**SG**: P4mm, No. 99

```
10
Lattice="5.3098 0.0000 0.0000 0.0000 5.3098 0.0000 0.0000 0.0000 4.9906" Properties=species:S:1:pos:R:3 pbc="T T T"
Sm 0.0000 2.6549 0.0000
Sm 2.6549 0.0000 0.0000
Ti 0.0000 0.0000 2.9518
Mn 2.6549 2.6549 2.8104
O 0.0000 0.0000 1.1099
O 1.2691 1.2691 3.6342
O 1.2691 4.0407 3.6342
O 2.6549 2.6549 0.7956
O 4.0407 1.2691 3.6342
O 4.0407 4.0407 3.6342
```

=====

Here is a relaxed structure of Sm2TiMnO6 from Alexandria via LeMat-Bulk. Energies are from PBE with a Hubbard U.

Summary:
**SG**: P2_1/c, No. 14

```
20
Lattice="5.4668 0.0000 0.0000 0.0000 5.7787 0.0000 -5.4246 0.0000 7.8997" Properties=species:S:1:pos:R:3 pbc="T T T"
Sm -0.0892 0.3732 1.9575
Sm -2.8015 2.5161 5.9073
Sm 2.8438 3.2626 1.9923
Sm 0.1315 5.4055 5.9421
Ti 2.7334 0.0000 0.0000
Ti 0.0211 2.8894 3.9498
Mn -2.7123 0.0000 3.9498
Mn 0.0000 2.8894 0.0000
O -4.2935 1.0661 7.4732
O -1.5812 1.8232 3.5234
O -3.6841 4.1084 7.3987
O -0.9718 4.5597 3.4489
O -2.0823 0.2522 6.0267
O 0.6300 2.6372 2.0769
O -0.5878 3.1416 5.8228
O 2.1245 5.5265 1.8730
O 1.0141 1.2190 4.4508
O 3.7264 1.6703 0.5010
O 1.6235 3.9555 4.3763
O 4.3358 4.7126 0.4264
```

=====

Here is a relaxed structure of SmUMn2O8 from Alexandria via LeMat-Bulk. Energies are from PBE with a Hubbard U.

Summary:
**SG**: I-4, No. 82

```
12
Lattice="-2.6169 2.6169 5.5190 2.6169 -2.6169 5.5190 2.6169 2.6169 -5.5190" Properties=species:S:1:pos:R:3 pbc="T T T"
Sm 0.0000 0.0000 0.0000
U 2.6169 0.0000 2.7595
Mn 0.0000 0.0000 5.5190
Mn 0.0000 2.6169 2.7595
O 1.4201 -0.8015 4.6723
O 1.8154 1.1968 0.8468
O -0.9652 1.0988 2.0607
O 1.1968 3.4184 -0.8468
O 1.5180 1.6517 3.4583
O 0.8015 1.4201 6.3658
O 0.9652 4.1349 2.0607
O -1.5180 3.5821 3.4583
```

=====

Here is a relaxed structure of Mn2Sn2O5 from Alexandria via LeMat-Bulk. Energies are from PBE with a Hubbard U.

Summary:
**SG**: Ima2, No. 46

```
18
Lattice="-7.8889 2.7753 2.7888 7.8889 -2.7753 2.7888 7.8889 2.7753 -2.7888" Properties=species:S:1:pos:R:3 pbc="T T T"
Mn 1.9555 0.0526 0.0000
Mn 5.9334 0.0526 0.0000
Mn 1.9555 2.7227 2.7888
Mn 5.9334 2.7227 2.7888
Sn 3.9444 -0.0629 2.9027
Sn 3.9444 2.8382 0.1139
Sn 0.0000 2.7753 0.2222
Sn 0.0000 0.0000 3.0110
O 3.9444 0.6456 -0.5951
O 7.0124 1.5541 -1.2316
O 8.7654 -1.2212 1.5572
O -1.8004 1.9090 0.7636
O 9.6893 1.9090 0.7636
O 0.8765 1.2212 1.5572
O 7.0124 1.2212 1.5572
O 3.9444 2.1297 2.1937
O 1.8004 3.6416 0.7636
O -1.8004 0.8663 3.5524
```

=====

Here is a relaxed structure of MnSnO3 from Alexandria via LeMat-Bulk. Energies are from PBE with a Hubbard U.

Summary:
**SG**: R3c, No. 161

```
10
Lattice="2.7308 1.5766 4.7664 -2.7308 1.5766 4.7664 0.0000 -3.1533 4.7664" Properties=species:S:1:pos:R:3 pbc="T T T"
Mn 0.0000 0.0000 0.0000
Mn 0.0000 0.0000 7.1496
Sn 0.0000 0.0000 3.0945
Sn 0.0000 0.0000 10.2440
O -2.0233 0.1090 6.4544
O -0.7075 -1.4676 8.8376
O 0.9172 -1.8067 6.4544
O -0.9172 1.3465 8.8376
O 1.1061 1.6977 6.4544
O 1.6247 0.1211 8.8375
```

=====

Here is a relaxed structure of Mn3SnO6 from Alexandria via LeMat-Bulk. Energies are from PBE with a Hubbard U.

Summary:
**SG**: P2_1/c, No. 14

```
20
Lattice="5.1448 0.0000 0.0000 0.0000 5.3263 0.0000 -4.8696 0.0000 8.3489" Properties=species:S:1:pos:R:3 pbc="T T T"
Mn 0.0000 0.0000 0.0000
Mn -2.4348 2.6631 4.1744
Mn -2.4759 0.3307 6.0640
Mn -0.0411 2.3324 1.8896
Mn 0.3163 2.9939 6.4593
Mn 2.7511 4.9956 2.2849
Sn 0.1376 0.0000 4.1744
Sn 2.5724 2.6631 0.0000
O -1.5475 1.0583 3.6348
O -3.9823 1.6048 7.8092
O -0.9628 3.7154 3.3322
O -3.3976 4.2740 7.5067
O 0.8986 0.5428 2.2823
O -1.5362 2.1204 6.4568
O 1.8114 3.2059 1.8921
O -0.6235 4.7835 6.0666
O 3.6728 1.0523 0.8422
O 1.2380 1.6109 5.0167
O 4.2575 3.7215 0.5397
O 1.8227 4.2680 4.7141
```

=====

Here is a relaxed structure of MnSn3O from Alexandria via LeMat-Bulk. Energies are from PBE with a Hubbard U.

Summary:
**SG**: Pm-3m, No. 221

```
5
Lattice="5.0739 0.0000 0.0000 0.0000 5.0739 0.0000 0.0000 0.0000 5.0739" Properties=species:S:1:pos:R:3 pbc="T T T"
Mn 0.0000 0.0000 0.0000
Sn 0.0000 0.0000 2.5369
Sn 0.0000 2.5369 0.0000
Sn 2.5369 0.0000 0.0000
O 2.5369 2.5369 2.5369
```

=====

Here is a relaxed structure of MnSnO2 from Alexandria via LeMat-Bulk. Energies are from PBE with a Hubbard U.

Summary:
**SG**: R-3m, No. 166

```
12
Lattice="3.1703 0.0000 0.0000 -1.5852 2.7456 0.0000 0.0000 0.0000 19.7306" Properties=species:S:1:pos:R:3 pbc="T T T"
Mn 0.0000 0.0000 0.0000
Mn 0.0000 1.8304 13.1537
Mn 1.5852 0.9152 6.5769
Sn 0.0000 0.0000 9.8653
Sn 0.0000 1.8304 3.2884
Sn 1.5852 0.9152 16.4422
O 0.0000 0.0000 7.6113
O 0.0000 0.0000 12.1193
O 0.0000 1.8304 1.0344
O 0.0000 1.8304 5.5424
O 1.5852 0.9152 14.1882
O 1.5852 0.9152 18.6962
```

=====

Here is a relaxed structure of MnSnO3 from Alexandria via LeMat-Bulk. Energies are from PBE with a Hubbard U.

Summary:
**SG**: Pm-3m, No. 221

```
5
Lattice="3.9941 0.0000 0.0000 0.0000 3.9941 0.0000 0.0000 0.0000 3.9941" Properties=species:S:1:pos:R:3 pbc="T T T"
Mn 0.0000 0.0000 0.0000
Sn 1.9971 1.9971 1.9971
O 0.0000 1.9971 1.9971
O 1.9971 0.0000 1.9971
O 1.9971 1.9971 0.0000
```

=====

Here is a relaxed structure of MnSnO3 from Alexandria via LeMat-Bulk. Energies are from PBE with a Hubbard U.

Summary:
**SG**: Pm-3m, No. 221

```
5
Lattice="3.8399 0.0000 0.0000 0.0000 3.8399 0.0000 0.0000 0.0000 3.8399" Properties=species:S:1:pos:R:3 pbc="T T T"
Mn 0.0000 0.0000 0.0000
Sn 1.9200 1.9200 1.9200
O 0.0000 0.0000 1.9200
O 0.0000 1.9200 0.0000
O 1.9200 0.0000 0.0000
```

=====

Here is a relaxed structure of MnSnO3 from Alexandria via LeMat-Bulk. Energies are from PBE with a Hubbard U.

Summary:
**SG**: R-3, No. 148

```
10
Lattice="2.7218 1.5714 4.9027 -2.7218 1.5714 4.9027 0.0000 -3.1429 4.9027" Properties=species:S:1:pos:R:3 pbc="T T T"
Mn 0.0000 0.0000 2.0321
Mn 0.0000 0.0000 12.6760
Sn 0.0000 0.0000 5.1330
Sn 0.0000 0.0000 9.5752
O -1.0899 -1.4929 6.0740
O -1.8378 0.1975 8.6341
O -0.7479 1.6903 6.0740
O 0.7479 -1.6903 8.6341
O 1.8378 -0.1975 6.0740
O 1.0899 1.4929 8.6341
```

=====

Here is a relaxed structure of MnSn2O from Alexandria via LeMat-Bulk. Energies are from PBE with a Hubbard U.

Summary:
**SG**: I-42d, No. 122

```
16
Lattice="6.9631 0.0000 0.0000 0.0000 6.9631 0.0000 0.0000 0.0000 6.9538" Properties=species:S:1:pos:R:3 pbc="T T T"
Mn 0.0000 0.0000 0.0000
Mn 0.0000 3.4816 1.7385
Mn 3.4816 0.0000 5.2154
Mn 3.4816 3.4816 3.4769
Sn 1.2407 5.2223 4.3461
Sn 1.7408 1.2407 2.6077
Sn 1.7408 2.2409 6.0846
Sn 2.2409 5.2223 0.8692
Sn 4.7222 1.7408 0.8692
Sn 5.2223 4.7222 6.0846
Sn 5.2223 5.7224 2.6077
Sn 5.7224 1.7408 4.3461
O 0.0000 0.0000 3.4769
O 0.0000 3.4816 5.2154
O 3.4816 0.0000 1.7385
O 3.4816 3.4816 0.0000
```

=====

Here is a relaxed structure of Mn5SnO8 from Alexandria via LeMat-Bulk. Energies are from PBE with a Hubbard U.

Summary:
**SG**: P1, No. 1

```
28
Lattice="6.1673 0.0000 0.0000 3.0316 5.5288 0.0000 3.0314 -1.2673 10.1984" Properties=species:S:1:pos:R:3 pbc="T T T"
Mn 0.0000 0.0000 0.0000
Mn 10.6685 1.4202 10.1901
Mn 4.4953 4.7692 5.1003
Mn 4.5030 3.0949 7.5887
Mn 3.0388 2.0456 5.0959
Mn 4.6019 2.8613 1.8930
Mn 4.6025 -0.6366 7.0022
Mn 3.0194 0.0434 0.0283
Mn 6.0317 2.0711 5.1137
Mn 7.6286 1.0280 2.5026
Sn 7.5309 1.3417 8.2690
Sn 7.5218 4.7192 3.1788
O 5.8808 2.3491 8.9437
O 2.8904 1.9692 1.1661
O 2.9281 0.2205 3.8690
O 5.9203 3.8790 6.4636
O 4.6737 4.8065 1.1686
O 4.6599 2.8868 3.9676
O 4.6737 -0.4943 9.0651
O 4.6645 1.3014 6.2891
O 7.5305 4.7209 1.1473
O 7.5302 -0.5446 8.9888
O 7.5257 2.8282 3.9147
O 7.5292 1.2226 6.2547
O 6.1376 0.1288 3.8040
O 9.2664 2.2427 8.8725
O 6.2551 1.8923 1.1120
O 9.2892 3.7983 6.4074
```

=====

Here is a relaxed structure of MnSnO2 from Alexandria via LeMat-Bulk. Energies are from PBE with a Hubbard U.

Summary:
**SG**: I-42d, No. 122

```
16
Lattice="5.1966 0.0000 0.0000 0.0000 5.1966 0.0000 0.0000 0.0000 10.0249" Properties=species:S:1:pos:R:3 pbc="T T T"
Mn 0.0000 0.0000 0.0000
Mn 0.0000 2.5983 2.5062
Mn 2.5983 0.0000 7.5186
Mn 2.5983 2.5983 5.0124
Sn 0.0000 0.0000 5.0124
Sn 0.0000 2.5983 7.5186
Sn 2.5983 0.0000 2.5062
Sn 2.5983 2.5983 0.0000
O 1.0772 1.2991 1.2531
O 1.2991 3.6755 3.7593
O 1.2991 4.1194 8.7717
O 1.5211 1.2991 6.2655
O 3.6755 3.8974 6.2655
O 3.8974 1.0772 8.7717
O 3.8974 1.5211 3.7593
O 4.1194 3.8974 1.2531
```

=====

What ρ values result from the calculations? In sequence: 5.8, 6.2, 5.5, 6.0, 6.0, 5.9, 6.6, 6.9, 5.8, 6.0, 5.5, 5.4, 6.0, 5.8, 6.5, 5.9, 6.1, 5.0, 5.0 Mg/m³.
What raw total energy values result from the calculations? In sequence: -67.51, -148.61, -68.76, -119.95, -69.90, -83.35, -169.49, -97.83, -122.09, -69.14, -143.54, -20.85, -79.08, -32.26, -31.98, -69.36, -83.40, -206.32, -104.67 eV per cell.